Record 1
KYBi2 after structural relaxation, computed with PBE.

Structure (CIF):
```
data_KYBi2
_cell_length_a 3.7138
_cell_length_b 3.7138
_cell_length_c 9.5950
_cell_angle_alpha 90.00
_cell_angle_beta 90.00
_cell_angle_gamma 90.00
_space_group_name_H-M_alt 'P 1'
_space_group_IT_number 1
_space_group_name_Hall 'P 1'
loop_
_atom_site_label
_atom_site_fract_x
_atom_site_fract_y
_atom_site_fract_z
Y1 0.5000 0.5000 0.0000
K1 0.5000 0.5000 0.5000
Bi1 0.0000 0.0000 0.7790
Bi2 0.0000 0.0000 0.2210
```

Summary:
Crystal system   tetragonal
Energy   -17.49 eV/f.u.
Total magnetic moment   0.0000 μB per atom
Symmetry   No. 123

Record 2
K3YBi after structural relaxation, computed with PBE.

Structure (CIF):
```
data_K3YBi
_cell_length_a 6.7355
_cell_length_b 6.7355
_cell_length_c 6.7355
_cell_angle_alpha 90.00
_cell_angle_beta 90.00
_cell_angle_gamma 90.00
_space_group_name_H-M_alt 'P 1'
_space_group_IT_number 1
_space_group_name_Hall 'P 1'
loop_
_atom_site_label
_atom_site_fract_x
_atom_site_fract_y
_atom_site_fract_z
Y1 0.0000 0.0000 0.0000
K1 0.0000 0.5000 0.0000
K2 0.0000 0.0000 0.5000
K3 0.5000 0.0000 0.0000
Bi1 0.5000 0.5000 0.5000
```

Summary:
Crystal system   cubic
Energy   -8.92 eV/f.u.
Total magnetic moment   0.2000 μB per atom
Symmetry   No. 221